GaOs2N | Alexandria via LeMat-Bulk | PBE-GGA | optimized geometry; excess energy over the best structure of this formula in the dataset = 0.508 eV/atom; calculated volume = 12.56 A^3/atom; M_tot = 0.0 μB per formula unit; DFT total energy = -7.184 eV per atom
1.0
3.132 -1.279 2.389
-0.048 0.775 4.068
-0.578 -3.095 2.691
Os Ga N
2 1 1
direct
0.250 0.250 0.250
0.750 0.750 0.750
0.500 0.500 0.500
0.000 0.000 0.000